The following is a DFT calculation (PBE) of crystalline InRuNO2 at its relaxed geometry.

Cell and atoms, written as CIF:
```
data_InRuNO2
_chemical_formula_sum 'In1 Ru1 N1 O2'
_symmetry_space_group_name_H-M 'P 1'
_symmetry_Int_Tables_number 1
_cell_length_a 4.059
_cell_length_b 4.059
_cell_length_c 3.841
_cell_angle_alpha 90.00
_cell_angle_beta 90.00
_cell_angle_gamma 90.00
loop_
_symmetry_equiv_pos_as_xyz
'x,y,z'
loop_
_atom_site_label
_atom_site_fract_x
_atom_site_fract_y
_atom_site_fract_z
N1 0.000 0.000 0.500
O1 0.000 0.500 0.000
O2 0.500 0.000 0.000
In1 0.500 0.500 0.500
Ru1 0.000 0.000 0.000
```

Properties
- ΔE_f (raw) (eV/atom) = -0.172
- uncorrected energy (eV/cell) = -31.11
- volume (Å³/atom) = 12.66
- crystal system = tetragonal